# 1
The following is a DFT calculation (PBE) of an optimized crystal structure of La2TbPr2Y4.

Lattice parameters (Å, degrees): 3.677 9.697 9.763 115.23 90.00 100.93
Atoms (fractional coordinates):
La 0.335 0.670 0.000
La 0.665 0.330 0.000
Tb 0.000 0.000 0.000
Pr 0.853 0.705 0.336
Pr 0.147 0.295 0.664
Y 0.815 0.631 0.664
Y 0.185 0.369 0.336
Y 0.520 0.040 0.332
Y 0.480 0.960 0.668

## Properties
- ΔH_f (0 K) (eV per atom) = 0.003
- energy (eV/atom) = -5.54

# 2
The following is a DFT calculation (PBE) of an optimized crystal structure of LaTb2PrY.

Lattice parameters (Å, degrees): 7.248 8.473 7.231 125.87 90.00 90.00
Atoms (fractional coordinates):
La 0.750 0.730 0.459
La 0.250 0.270 0.541
Tb 0.500 0.313 0.000
Tb 0.000 0.687 0.000
Tb 0.500 0.687 0.000
Tb 0.000 0.313 0.000
Pr 0.250 0.009 0.019
Pr 0.750 0.991 0.981
Y 0.250 0.724 0.449
Y 0.750 0.276 0.551

## Properties
- ΔH_f (0 K) (eV per atom) = 0.352
- energy (eV/atom) = -4.73

# 3
The following is a DFT calculation (PBE) of an optimized crystal structure of LaTb2Pr2Y.

Lattice parameters (Å, degrees): 5.765 7.146 9.976 90.00 90.00 90.00
Atoms (fractional coordinates):
La 0.500 0.257 0.658
La 0.500 0.757 0.342
Tb 0.000 0.258 0.836
Tb 0.500 0.257 0.329
Tb 0.000 0.758 0.164
Tb 0.500 0.757 0.671
Pr 0.500 0.008 0.000
Pr 0.000 0.258 0.175
Pr 0.500 0.508 0.000
Pr 0.000 0.758 0.825
Y 0.000 0.007 0.500
Y 0.000 0.507 0.500

## Properties
- ΔH_f (0 K) (eV per atom) = 0.059
- energy (eV/atom) = -4.98

# 4
The following is a DFT calculation (PBE) of an optimized crystal structure of La3Tb2PrY6.

Lattice parameters (Å, degrees): 6.291 6.291 11.924 95.03 95.03 120.00
Atoms (fractional coordinates):
La 0.167 0.833 0.500
La 0.833 0.167 0.500
La 0.500 0.500 0.500
Tb 0.333 0.667 0.000
Tb 0.667 0.333 0.000
Pr 0.000 0.000 0.000
Y 0.918 0.584 0.754
Y 0.748 0.748 0.247
Y 0.082 0.416 0.246
Y 0.584 0.918 0.754
Y 0.252 0.252 0.753
Y 0.416 0.082 0.246

## Properties
- ΔH_f (0 K) (eV per atom) = 0.014
- energy (eV/atom) = -5.62

# 5
The following is a DFT calculation (PBE) of an optimized crystal structure of La5TbPrY2.

Lattice parameters (Å, degrees): 10.108 8.077 8.077 90.00 90.00 90.00
Atoms (fractional coordinates):
La 0.500 0.500 0.500
La 0.500 0.000 0.000
La 0.236 0.206 0.706
La 0.236 0.794 0.294
La 0.236 0.294 0.206
La 0.236 0.706 0.794
La 0.764 0.206 0.706
La 0.764 0.706 0.794
La 0.764 0.794 0.294
La 0.764 0.294 0.206
Tb 0.000 0.000 0.500
Tb 0.000 0.500 0.000
Pr 0.000 0.500 0.500
Pr 0.000 0.000 0.000
Y 0.500 0.629 0.129
Y 0.500 0.129 0.371
Y 0.500 0.871 0.629
Y 0.500 0.371 0.871

## Properties
- ΔH_f (0 K) (eV per atom) = 0.284
- energy (eV/atom) = -4.93

# 6
The following is a DFT calculation (PBE) of an optimized crystal structure of La4Tb2Pr2Y.

Lattice parameters (Å, degrees): 5.206 8.233 8.211 107.70 90.00 108.43
Atoms (fractional coordinates):
La 0.777 0.554 0.666
La 0.223 0.446 0.334
La 0.554 0.109 0.335
La 0.446 0.891 0.665
Tb 0.889 0.778 0.331
Tb 0.111 0.222 0.669
Pr 0.333 0.667 0.000
Pr 0.667 0.333 0.000
Y 0.000 0.000 0.000

## Properties
- ΔH_f (0 K) (eV per atom) = 0.020
- energy (eV/atom) = -4.98